# 1
Computed, not measured: crystalline Na5MgCd2 at its relaxed geometry at the PBE level of DFT.

The space group is Pbam (No. 55) and the conventional cell measures 6.706, 13.303 and 5.022 Å, with angles of 90.00, 90.00 and 90.00 degrees. Symmetry generates all atoms from Na at (0.000, 0.000, 0.000), Na at (0.097, 0.246, 0.000), Na at (0.194, 0.868, 0.500), Mg at (0.000, 0.500, 0.000) and Cd at (0.177, 0.607, 0.500).

The density of states at the Fermi level comes out at 0.28 states/eV per atom.



# 2
Computed, not measured: crystalline Pr2Al3Cu12Au at its relaxed geometry at the PBE level of DFT.

The space group is R-3m (No. 166, hexagonal axes) and the conventional cell measures 6.0779, 6.0779 and 28.5954 Å, with angles of 90.00, 90.00 and 120.00 degrees. Symmetry generates all atoms from Pr at (0.0000, 0.0000, 0.1476), Al at (0.0000, 0.5000, 0.0000), Cu at (0.0399, 0.5199, 0.0944), Cu at (0.0709, 0.5354, 0.6182) and Au at (0.0000, 0.0000, 0.5000).

The density of states at the Fermi level comes out at 0.33 states/eV per atom.



# 3
Computed, not measured: crystalline Pr2TiAg at its relaxed geometry at the PBE level of DFT.

The space group is R-3m (No. 166, hexagonal axes) and the conventional cell measures 3.2838, 3.2838 and 34.1552 Å, with angles of 90.00, 90.00 and 120.00 degrees. Symmetry generates all atoms from Pr at (0.0000, 0.0000, 0.0876), Ti at (0.0000, 0.0000, 0.0000) and Ag at (0.0000, 0.0000, 0.5000).

The energy above the most stable polymorph in this dataset is 35.4 kJ per mole of atoms. The density of states at the Fermi level comes out at 1.40 states/eV per atom.



What magnetization values result from the calculations? In sequence: 0.0, 0.0, 3.9 μB per cell.
What E_form values result from the calculations? In sequence: -22, 59, 435 meV/atom.
What DFT total energy values result from the calculations? In sequence: -1.275, -4.009, -4.642 eV/atom.